# CaMg2Hg (SCAN, single point on PBEsol structure)
data_CaMg2Hg
_chemical_formula_sum 'Ca2 Mg4 Hg2'
_cell_length_a 4.620
_cell_length_b 3.504
_cell_length_c 12.349
_cell_angle_alpha 90.00
_cell_angle_beta 90.00
_cell_angle_gamma 90.00
_space_group_name_H-M_alt 'A m m 2'
_space_group_IT_number 38
loop_
_space_group_symop_operation_xyz
'x,y,z'
'-x,-y,z'
'-x,y,z'
'x,-y,z'
'x,y+1/2,z+1/2'
'-x,-y+1/2,z+1/2'
'-x,y+1/2,z+1/2'
'x,-y+1/2,z+1/2'
loop_
_atom_site_label
_atom_site_type_symbol
_atom_site_fract_x
_atom_site_fract_y
_atom_site_fract_z
Ca1 Ca 0.000 0.000 0.000
Mg1 Mg 0.000 0.000 0.264
Mg2 Mg 0.500 0.000 0.669
Hg1 Hg 0.500 0.000 0.397
# Energy relative to the elements ... -119 kJ/mol of formula units
# V ... 100.0 Å³/f.u.